A plane-wave DFT calculation with PBE with a Hubbard U was carried out for an optimized crystal structure of LiMnF3.

Values from the calculation:
Electronic total energy: -57.6 eV for the cell shown
Crystal system: trigonal
Relative energy among the computed polymorphs: 1.6 kJ per mole of atoms
Space group: R-3

Lattice parameters (Å, degrees): 5.647 5.647 5.647 56.68 56.68 56.68
Sites, in units of the cell vectors:
Li 0.144 0.144 0.144
Li 0.856 0.856 0.856
Mn 0.645 0.645 0.645
Mn 0.355 0.355 0.355
F 0.557 0.242 0.951
F 0.758 0.049 0.443
F 0.049 0.443 0.758
F 0.951 0.557 0.242
F 0.242 0.951 0.557
F 0.443 0.758 0.049